A plane-wave DFT calculation with GGA-PBE was carried out for a relaxed structure of AcMnGa11.

N(E_F) (states/eV per atom): 0.483
Calculated formation energy (eV/atom): -0.1522

a = 6.8002 Å, b = 6.8002 Å, c = 8.0103 Å
α = 97.19°, β = 97.19°, γ = 134.80°
Fractional positions:
1 Ac 0.0000 0.0000 0.0000
2 Mn 0.5000 0.5000 0.5000
3 Ga 0.0000 0.0000 0.5000
4 Ga 0.0000 0.5000 0.0000
5 Ga 0.0319 0.3790 0.3700
6 Ga 0.2674 0.4931 0.7562
7 Ga 0.3790 0.0319 0.3700
8 Ga 0.4931 0.2674 0.7562
9 Ga 0.5000 0.0000 0.0000
10 Ga 0.5069 0.7326 0.2438
11 Ga 0.6210 0.9681 0.6300
12 Ga 0.7326 0.5069 0.2438
13 Ga 0.9681 0.6210 0.6300